Entry 1:
# FeCoMo2H

Crystalline FeCoMo2H at its relaxed geometry (PBE, the Alexandria database).

Computed properties:
M_tot	0.02	Bohr magnetons per cell
electronic total energy	-40.13	eV per formula unit

Cell: 3.8812 3.8812 3.6297 Å, 90.00 90.00 90.00°
Space group P4/mmm (No. 123)
Inequivalent atoms, fractional coordinates:
Fe 0.0000 0.0000 0.0000 [1 per cell]
Co 0.5000 0.5000 0.0000 [1 per cell]
Mo 0.0000 0.5000 0.5000 [2 per cell]
H 0.0000 0.0000 0.5000 [1 per cell]

***

Entry 2:
# Lu2HgBi

Crystalline Lu2HgBi at its relaxed geometry (PBE, the Alexandria database).

Computed properties:
M_tot	0.00	Bohr magnetons per cell
calculated formation energy	-0.423	eV/atom
electronic total energy	-14.92	eV per formula unit

Cell: 4.8532 4.8532 16.2920 Å, 90.00 90.00 120.00°
Space group R-3m (No. 166, hexagonal axes)
Inequivalent atoms, fractional coordinates:
Lu 0.0000 0.0000 0.2397 [6 per cell]
Hg 0.0000 0.0000 0.5000 [3 per cell]
Bi 0.0000 0.0000 0.0000 [3 per cell]

***

Entry 3:
# Pr6YCd2

Crystalline Pr6YCd2 at its relaxed geometry (PBE, the Alexandria database).

Computed properties:
M_tot	0.00	Bohr magnetons per cell
calculated formation energy	-0.137	eV/atom
electronic total energy	-38.21	eV per formula unit

Cell: 13.1203 3.8575 12.3338 Å, 90.00 109.06 90.00°
Space group C2/m (No. 12)
Inequivalent atoms, fractional coordinates:
Pr 0.0209 0.0000 0.3355 [4 per cell]
Pr 0.1849 0.5000 0.8767 [4 per cell]
Pr 0.1897 0.5000 0.5895 [4 per cell]
Y 0.0000 0.0000 0.0000 [2 per cell]
Cd 0.1413 0.5000 0.1968 [4 per cell]